This record from Alexandria describes an optimized crystal structure of GaSeN2F. The functional is PBE.

The calculation puts the polymorph energy (0 for the lowest one) at 2.73 eV per formula unit. The space-group type is P4/mmm. The value obtained for the formation energy from raw total energies is 1.1832 eV/atom.

Lattice parameters (Å, degrees): 3.7951 3.7951 5.6729 90.00 90.00 90.00
Last column: nearest neighbours and their distance in Å.
Sites, in units of the cell vectors:
Ga: 0.0000 0.0000 0.0000  4 N 1.90
Se: 0.0000 0.0000 0.5000  4 F 2.68, 2 Ga 2.84
N: 0.0000 0.5000 0.0000  2 Ga 1.90
N: 0.5000 0.0000 0.0000  2 Ga 1.90
F: 0.5000 0.5000 0.5000  4 Se 2.68



This record from Alexandria describes an optimized crystal structure of ZnCdSe3. The functional is PBE.

The calculation puts the polymorph energy (0 for the lowest one) at 0.00 eV per formula unit. The space-group type is Pm-3m. The value obtained for the formation energy from raw total energies is 0.2965 eV/atom.

Lattice parameters (Å, degrees): 4.9582 4.9582 4.9582 90.00 90.00 90.00
Last column: nearest neighbours and their distance in Å.
Sites, in units of the cell vectors:
Zn: 0.0000 0.0000 0.0000  6 Se 2.48
Cd: 0.5000 0.5000 0.5000  12 Se 3.51
Se: 0.0000 0.0000 0.5000  2 Zn 2.48
Se: 0.0000 0.5000 0.0000  2 Zn 2.48
Se: 0.5000 0.0000 0.0000  2 Zn 2.48



This record from Alexandria describes an optimized crystal structure of MoC. The functional is PBE.

The calculation puts the polymorph energy (0 for the lowest one) at 1.10 eV per formula unit. The space-group type is P6_3/m. The value obtained for the formation energy is 0.909 eV per formula unit.

Lattice parameters (Å, degrees): 7.5636 7.5636 3.6752 90.00 90.00 120.00
Last column: nearest neighbours and their distance in Å.
Sites, in units of the cell vectors:
Mo: 0.0563 0.6647 0.2500  4 C 1.99-2.05
Mo: 0.3353 0.3916 0.2500  4 C 1.99-2.05
Mo: 0.3916 0.0563 0.7500  4 C 1.99-2.05
Mo: 0.6084 0.9437 0.2500  4 C 1.99-2.05
Mo: 0.6647 0.6084 0.7500  4 C 1.99-2.05
Mo: 0.9437 0.3353 0.7500  4 C 1.99-2.05
C: 0.0795 0.4054 0.2500  4 Mo 1.99-2.05
C: 0.3260 0.9205 0.2500  4 Mo 1.99-2.05
C: 0.4054 0.3260 0.7500  4 Mo 1.99-2.05
C: 0.5946 0.6740 0.2500  4 Mo 1.99-2.05
C: 0.6740 0.0795 0.7500  4 Mo 1.99-2.05
C: 0.9205 0.5946 0.7500  4 Mo 1.99-2.05



This record from Alexandria describes an optimized crystal structure of Ag5Os3. The functional is PBE.

The calculation puts the polymorph energy (0 for the lowest one) at 0.00 eV per formula unit. The space-group type is Cm. The value obtained for the formation energy is 5.391 eV per formula unit.

Lattice parameters (Å, degrees): 10.1449 10.1449 4.9451 90.16 90.16 149.09
Last column: nearest neighbours and their distance in Å.
Sites, in units of the cell vectors:
Ag: 0.0000 0.0000 0.0000  8 Ag 2.70-2.94, 4 Os 2.84-2.91
Ag: 0.1142 0.8719 0.3366  7 Ag 2.70-2.90, 4 Os 2.84-3.00
Ag: 0.1278 0.3788 0.8265  8 Ag 2.69-2.94, 4 Os 2.85-2.94
Ag: 0.3682 0.6200 0.3289  7 Ag 2.70-2.94, 5 Os 2.85-2.93
Ag: 0.3788 0.1278 0.8265  8 Ag 2.69-2.94, 4 Os 2.85-2.94
Ag: 0.5005 0.5005 0.0027  8 Ag 2.70-2.97, 4 Os 2.76-2.78
Ag: 0.6200 0.3682 0.3289  7 Ag 2.70-2.94, 5 Os 2.85-2.93
Ag: 0.6281 0.8824 0.8317  8 Ag 2.69-2.97, 4 Os 2.80-3.01
Ag: 0.8719 0.1142 0.3366  7 Ag 2.70-2.90, 4 Os 2.84-3.00
Ag: 0.8824 0.6281 0.8317  8 Ag 2.69-2.97, 4 Os 2.80-3.01
Os: 0.2693 0.2693 0.5011  1 Os 2.48, 2 Ag 2.77-2.78
Os: 0.2799 0.7743 0.6471  4 Os 2.65-2.71, 4 Ag 2.80-2.94
Os: 0.4525 0.9624 0.1517  4 Os 2.65-2.71, 4 Ag 2.84-2.93
Os: 0.7288 0.7288 0.5054  1 Os 2.48, 2 Ag 2.76
Os: 0.7743 0.2799 0.6471  4 Os 2.65-2.71, 4 Ag 2.80-2.94
Os: 0.9624 0.4525 0.1517  4 Os 2.65-2.71, 4 Ag 2.84-2.93



This record from Alexandria describes an optimized crystal structure of H4Ru. The functional is PBE.

Its calculated total energy is -3.72 eV/atom. The space-group type is Pm-3m.

Lattice parameters (Å, degrees): 3.3142 3.3142 3.3142 90.00 90.00 90.00
Last column: nearest neighbours and their distance in Å.
Sites, in units of the cell vectors:
H: 0.0000 0.0000 0.0000  12 H 2.34
H: 0.0000 0.5000 0.5000  2 Ru 1.66
H: 0.5000 0.0000 0.5000  2 Ru 1.66
H: 0.5000 0.5000 0.0000  2 Ru 1.66
Ru: 0.5000 0.5000 0.5000  6 H 1.66



This record from Alexandria describes an optimized crystal structure of Ca2TeRu. The functional is PBE.

The space-group type is Imm2. The value obtained for the formation energy from raw total energies is -0.3846 eV/atom.

Lattice parameters (Å, degrees): 6.8794 6.8794 6.8794 150.61 138.69 51.51
Last column: nearest neighbours and their distance in Å.
Sites, in units of the cell vectors:
Ca: 0.0000 0.0000 0.0000  2 Ru 3.26, 4 Te 3.33, 4 Ca 3.49-3.52
Ca: 0.7059 0.2059 0.5000  4 Ru 3.00, 2 Te 3.26
Te: 0.3816 0.3816 0.0000  2 Ru 2.64
Ru: 0.2222 0.7222 0.5000  2 Te 2.64



This record from Alexandria describes an optimized crystal structure of Al2InRu. The functional is PBE.

The space-group type is P2/m. The value obtained for the formation energy is -0.149 eV per formula unit.

Lattice parameters (Å, degrees): 4.7131 3.1205 4.8006 90.00 110.41 90.00
Last column: nearest neighbours and their distance in Å.
Sites, in units of the cell vectors:
Al: 0.0000 0.0000 0.0000  2 In 2.71, 4 Ru 2.83, 4 Al 2.86
Al: 0.0000 0.5000 0.5000  2 Ru 2.71, 4 In 2.83, 4 Al 2.86
In: 0.5000 0.0000 0.5000  6 Al 2.71-2.83, 4 Ru 2.86
Ru: 0.5000 0.5000 0.0000  6 Al 2.71-2.83, 4 In 2.86



This record from Alexandria describes an optimized crystal structure of Rb2CaTbCl6. The functional is PBE.

The space-group type is Pmmn. The value obtained for the formation energy from raw total energies is -2.0319 eV/atom.

Lattice parameters (Å, degrees): 7.6702 10.8471 7.6626 90.00 90.00 90.00
Last column: nearest neighbours and their distance in Å.
Sites, in units of the cell vectors:
Rb: 0.2500 0.0014 0.2491  12 Cl 3.82-3.85
Rb: 0.2500 0.4986 0.2491  12 Cl 3.82-3.85
Rb: 0.7500 0.5014 0.7509  12 Cl 3.82-3.85
Rb: 0.7500 0.9986 0.7509  12 Cl 3.82-3.85
Ca: 0.2500 0.7500 0.7503  6 Cl 2.73
Ca: 0.7500 0.2500 0.2497  6 Cl 2.73
Tb: 0.2500 0.2500 0.7497  6 Cl 2.69-2.70
Tb: 0.7500 0.7500 0.2503  6 Cl 2.69-2.70
Cl: 0.0016 0.2500 0.5012  1 Tb 2.69, 1 Ca 2.73
Cl: 0.0019 0.2500 0.9986  1 Tb 2.69, 1 Ca 2.73
Cl: 0.2500 0.0015 0.7509  1 Tb 2.70, 1 Ca 2.73
Cl: 0.2500 0.4985 0.7509  1 Tb 2.70, 1 Ca 2.73
Cl: 0.4984 0.2500 0.5012  1 Tb 2.69, 1 Ca 2.73
Cl: 0.4981 0.2500 0.9986  1 Tb 2.69, 1 Ca 2.73
Cl: 0.5019 0.7500 0.0014  1 Tb 2.69, 1 Ca 2.73
Cl: 0.5016 0.7500 0.4988  1 Tb 2.69, 1 Ca 2.73
Cl: 0.7500 0.5015 0.2491  1 Tb 2.70, 1 Ca 2.73
Cl: 0.7500 0.9985 0.2491  1 Tb 2.70, 1 Ca 2.73
Cl: 0.9981 0.7500 0.0014  1 Tb 2.69, 1 Ca 2.73
Cl: 0.9984 0.7500 0.4988  1 Tb 2.69, 1 Ca 2.73



This record from Alexandria describes an optimized crystal structure of Dy12SbRh6. The functional is PBE.

The space-group type is Im-3. The value obtained for the formation energy from raw total energies is -0.6650 eV/atom.

Lattice parameters (Å, degrees): 8.5697 8.5697 8.5697 109.47 109.47 109.47
Last column: nearest neighbours and their distance in Å.
Sites, in units of the cell vectors:
Dy: 0.1121 0.8098 0.3022  1 Rh 2.64
Dy: 0.1902 0.3022 0.4924  1 Rh 2.64
Dy: 0.1902 0.6978 0.8879  1 Rh 2.64
Dy: 0.3022 0.1121 0.8098  1 Rh 2.64
Dy: 0.3022 0.4924 0.1902  1 Rh 2.64
Dy: 0.4924 0.1902 0.3022  1 Rh 2.64
Dy: 0.5076 0.8098 0.6978  1 Rh 2.64
Dy: 0.6978 0.5076 0.8098  1 Rh 2.64
Dy: 0.6978 0.8879 0.1902  1 Rh 2.64
Dy: 0.8098 0.3022 0.1121  1 Rh 2.64
Dy: 0.8098 0.6978 0.5076  1 Rh 2.64
Dy: 0.8879 0.1902 0.6978  1 Rh 2.64
Sb: 0.0000 0.0000 0.0000  12 Dy 3.53
Rh: 0.1312 0.6312 0.5000  1 Rh 2.60, 2 Dy 2.64
Rh: 0.3688 0.5000 0.8688  1 Rh 2.60, 2 Dy 2.64
Rh: 0.5000 0.1312 0.6312  1 Rh 2.60, 2 Dy 2.64
Rh: 0.5000 0.8688 0.3688  1 Rh 2.60, 2 Dy 2.64
Rh: 0.6312 0.5000 0.1312  1 Rh 2.60, 2 Dy 2.64
Rh: 0.8688 0.3688 0.5000  1 Rh 2.60, 2 Dy 2.64



This record from Alexandria describes an optimized crystal structure of TlZn2Fe. The functional is PBE.

The calculation puts the polymorph energy (0 for the lowest one) at 0.61 eV per formula unit. The space-group type is R3m. The value obtained for the formation energy is 1.593 eV per formula unit.

Lattice parameters (Å, degrees): 8.9741 8.9741 8.9741 19.53 19.53 19.53
Last column: nearest neighbours and their distance in Å.
Sites, in units of the cell vectors:
Tl: 0.0000 0.0000 0.0000  3 Fe 2.90, 3 Zn 3.04, 6 Tl 3.04
Zn: 0.5064 0.5064 0.5064  3 Fe 2.60, 3 Zn 2.73
Zn: 0.7605 0.7605 0.7605  9 Zn 2.73-3.04, 3 Tl 3.04
Fe: 0.2457 0.2457 0.2457  3 Zn 2.60, 3 Tl 2.90



This record from Alexandria describes an optimized crystal structure of La2ScP. The functional is PBE.

The space-group type is I-4m2. The value obtained for the formation energy is -1.582 eV per formula unit.

Lattice parameters (Å, degrees): 5.8720 5.8720 5.8720 134.94 134.94 65.62
Last column: nearest neighbours and their distance in Å.
Sites, in units of the cell vectors:
La: 0.0000 0.0000 0.0000  4 Sc 3.18, 4 P 3.34, 4 La 3.34
La: 0.7500 0.2500 0.5000  4 P 3.18, 4 La 3.34, 4 Sc 3.34
Sc: 0.5000 0.5000 0.0000  8 La 3.18-3.34, 4 P 3.34
P: 0.2500 0.7500 0.5000  8 La 3.18-3.34, 4 Sc 3.34



This record from Alexandria describes an optimized crystal structure of TmThRu. The functional is PBE.

The calculation puts the polymorph energy (0 for the lowest one) at 0.23 eV per formula unit. The space-group type is F-43m. The value obtained for the formation energy is -0.828 eV per formula unit.

Lattice parameters (Å, degrees): 4.8409 4.8409 4.8409 60.00 60.00 60.00
Last column: nearest neighbours and their distance in Å.
Sites, in units of the cell vectors:
Tm: 0.0000 0.0000 0.0000  4 Ru 2.96
Th: 0.5000 0.5000 0.5000  4 Ru 2.96
Ru: 0.2500 0.2500 0.2500  4 Th 2.96, 4 Tm 2.96